The following is a DFT calculation (PBE) of a geometry-optimized Hf6In2N structure.

Cell lengths 10.945, 6.307, 5.154 Å; angles 90.00, 90.06, 90.00 degrees
Space group C2/m (No. 12)
One atom of each set of equivalent atoms:
Hf 0.083 0.249 0.244 [8 per cell]
Hf 0.166 0.000 0.754 [4 per cell]
In 0.167 0.500 0.746 [4 per cell]
N 0.000 0.000 0.500 [2 per cell]

Computed properties:
Density ... 12.270 Mg/m³
E ... -8.669 eV per atom
Distance to the lowest polymorph of the same formula ... 0.000 eV per formula unit
Formation energy (no corrections) ... -0.500 eV per atom


The following is a DFT calculation (PBE) of a geometry-optimized Hf4In2N structure.

Cell lengths 5.048, 20.517, 3.098 Å; angles 90.00, 90.00, 90.00 degrees
Space group Cmmm (No. 65)
One atom of each set of equivalent atoms:
Hf 0.000 0.073 0.000 [4 per cell]
Hf 0.000 0.203 0.500 [4 per cell]
In 0.000 0.343 0.000 [4 per cell]
N 0.000 0.000 0.500 [2 per cell]

Computed properties:
Density ... 9.913 Mg/m³
E ... -7.904 eV per atom
Distance to the lowest polymorph of the same formula ... 1.832 eV per formula unit
Formation energy (no corrections) ... -0.244 eV per atom


The following is a DFT calculation (PBE) of a geometry-optimized Hf4InN structure.

Cell lengths 8.325, 5.088, 6.576 Å; angles 90.00, 111.40, 90.00 degrees
Space group P2_1/c (No. 14)
One atom of each set of equivalent atoms:
Hf 0.113 0.249 0.303 [4 per cell]
Hf 0.222 0.738 0.107 [4 per cell]
In 0.500 0.000 0.000 [2 per cell]
N 0.000 0.000 0.000 [2 per cell]

Computed properties:
Density ... 10.794 Mg/m³
E ... -8.879 eV per atom
Distance to the lowest polymorph of the same formula ... 1.555 eV per formula unit
Formation energy (no corrections) ... -0.399 eV per atom


Copy entry 3 word for word.
The following is a DFT calculation (PBE) of a geometry-optimized Hf4InN structure.

Cell lengths 8.325, 5.088, 6.576 Å; angles 90.00, 111.40, 90.00 degrees
Space group P2_1/c (No. 14)
One atom of each set of equivalent atoms:
Hf 0.113 0.249 0.303 [4 per cell]
Hf 0.222 0.738 0.107 [4 per cell]
In 0.500 0.000 0.000 [2 per cell]
N 0.000 0.000 0.000 [2 per cell]

Computed properties:
Density ... 10.794 Mg/m³
E ... -8.879 eV per atom
Distance to the lowest polymorph of the same formula ... 1.555 eV per formula unit
Formation energy (no corrections) ... -0.399 eV per atom


Which value of E does entry 3 give?
-8.879 eV per atom